Material: Pr2Fe2Se2O3
Method: DFT, PBE with a Hubbard U
State: optimized geometry

Cell lengths 9.8912, 9.8912, 9.8912 Å; angles 156.00, 156.00, 34.20 degrees
Sites, in units of the cell vectors:
1 O 0.2500 0.7500 0.5000
2 O 0.7500 0.2500 0.5000
3 Pr 0.6871 0.6871 0.0000
4 Fe 0.0000 0.5000 0.5000
5 Se 0.9015 0.9015 0.0000
6 O 0.5000 0.5000 0.0000
7 Pr 0.3129 0.3129 0.0000
8 Fe 0.5000 0.0000 0.5000
9 Se 0.0985 0.0985 0.0000

Calculated values
- VASP energy (eV per atom) = -6.795
- theoretical density (g cm⁻³) = 6.22